Here is crystalline YCdS3 at its relaxed geometry from the Alexandria database. Energies are from PBE-GGA.

Values from the calculation:
The value obtained for the uncorrected formation energy is -35 kJ/mol of atoms.

a = 4.887 Å, b = 4.887 Å, c = 4.887 Å
α = 90.00°, β = 90.00°, γ = 90.00°
Fractional coordinates of all 5 atoms:
Y: 0.000 0.000 0.000
Cd: 0.500 0.500 0.500
S: 0.000 0.500 0.500
S: 0.500 0.000 0.500
S: 0.500 0.500 0.000

Here is crystalline NdDyTm2Th at its relaxed geometry from the Alexandria database. Energies are from PBE-GGA.

Values from the calculation:
The calculation puts the formation energy at 0.320 eV per atom.

a = 3.529 Å, b = 5.602 Å, c = 8.654 Å
α = 90.00°, β = 90.00°, γ = 90.00°
Fractional coordinates of all 5 atoms:
Nd: 0.000 0.000 0.000
Dy: 0.500 0.000 0.500
Tm: 0.000 0.500 0.322
Tm: 0.000 0.500 0.678
Th: 0.500 0.500 0.000

Here is crystalline PmYThTl at its relaxed geometry from the Alexandria database. Energies are from PBE-GGA.

Values from the calculation:
The calculation puts the formation energy at 0.034 eV per atom.

a = 7.835 Å, b = 7.835 Å, c = 7.835 Å
α = 90.00°, β = 90.00°, γ = 90.00°
Fractional coordinates of all 16 atoms:
Pm: 0.000 0.000 0.000
Pm: 0.000 0.500 0.500
Pm: 0.500 0.000 0.500
Pm: 0.500 0.500 0.000
Y: 0.250 0.250 0.750
Y: 0.250 0.750 0.250
Y: 0.750 0.250 0.250
Y: 0.750 0.750 0.750
Th: 0.250 0.250 0.250
Th: 0.250 0.750 0.750
Th: 0.750 0.250 0.750
Th: 0.750 0.750 0.250
Tl: 0.000 0.000 0.500
Tl: 0.000 0.500 0.000
Tl: 0.500 0.000 0.000
Tl: 0.500 0.500 0.500

Here is crystalline RbHf2F at its relaxed geometry from the Alexandria database. Energies are from PBE-GGA.

Values from the calculation:
For the polymorph energy (0 for the lowest one), the calculation gives 966.3 meV/atom. The value obtained for the uncorrected formation energy is 107 kJ/mol of atoms.

a = 7.155 Å, b = 7.155 Å, c = 7.155 Å
α = 90.00°, β = 90.00°, γ = 90.00°
Fractional coordinates of all 16 atoms:
Rb: 0.000 0.000 0.000
Rb: 0.000 0.500 0.500
Rb: 0.500 0.000 0.500
Rb: 0.500 0.500 0.000
Hf: 0.250 0.250 0.250
Hf: 0.250 0.250 0.750
Hf: 0.250 0.750 0.250
Hf: 0.250 0.750 0.750
Hf: 0.750 0.250 0.250
Hf: 0.750 0.250 0.750
Hf: 0.750 0.750 0.250
Hf: 0.750 0.750 0.750
F: 0.000 0.000 0.500
F: 0.000 0.500 0.000
F: 0.500 0.000 0.000
F: 0.500 0.500 0.500